1.
Entry from Alexandria via LeMat-Bulk: Tl8Sn3Sb2 after structural relaxation (GGA-PBE).

## Properties
- DFT total energy: -2.96 eV/atom
- Spin magnetization: 0.00 μB/f.u.
- Calculated volume: 32.1 Å³ per atom

Cell lengths 18.4368, 8.2991, 5.4602 Å; angles 90.00, 91.18, 90.00 degrees
Last column: nearest neighbours and their distance in Å.
Space group C2/m (No. 12)
Inequivalent atoms, fractional coordinates:
Tl 0.0602 0.0000 0.2231  1 Sb 3.17, 2 Sn 3.22, 1 Tl 3.26
Tl 0.1578 0.2070 0.7588  2 Sb 3.19-3.41, 1 Sn 3.33, 1 Tl 3.44
Tl 0.1613 0.5000 0.2445  2 Sb 3.21-3.54, 1 Sn 3.24, 2 Tl 3.60
Sn 0.0000 0.3137 0.5000  3 Sn 3.09-3.14, 4 Tl 3.22-3.33
Sn 0.0000 0.5000 0.0000  4 Sn 3.14, 2 Tl 3.24
Sb 0.2313 0.0000 0.2846  7 Tl 3.17-3.54

---

2.
Entry from Alexandria via LeMat-Bulk: CuSb2IF after structural relaxation (GGA-PBE).

## Properties
- DFT total energy: -2.93 eV/atom
- Spin magnetization: 0.00 μB/f.u.
- Polymorph energy (0 for the lowest one): 44 kJ/mol of formula units
- Calculated volume: 25.7 Å³ per atom

Cell lengths 4.6631, 4.6631, 5.9210 Å; angles 90.00, 90.00, 90.00 degrees
Last column: nearest neighbours and their distance in Å.
Space group P4/mmm (No. 123)
Inequivalent atoms, fractional coordinates:
Cu 0.0000 0.0000 0.0000  4 I 3.30
Sb 0.0000 0.5000 0.5000  2 F 2.33
I 0.5000 0.5000 0.0000  2 F 2.96, 4 Cu 3.30
F 0.5000 0.5000 0.5000  4 Sb 2.33

---

3.
Entry from Alexandria via LeMat-Bulk: Li3ScP after structural relaxation (GGA-PBE).

## Properties
- DFT total energy: -3.53 eV/atom
- Formation enthalpy at 0 K: -0.0363 eV per atom
- Spin magnetization: 0.00 μB/f.u.
- Polymorph energy (0 for the lowest one): 137 kJ/mol of formula units
- Calculated volume: 18.7 Å³ per atom

Cell lengths 4.5387, 4.5387, 4.5387 Å; angles 90.00, 90.00, 90.00 degrees
Last column: nearest neighbours and their distance in Å.
Space group Pm-3m (No. 221)
Inequivalent atoms, fractional coordinates:
Li 0.0000 0.0000 0.5000  2 P 2.27
Sc 0.5000 0.5000 0.5000  12 Li 3.21
P 0.0000 0.0000 0.0000  6 Li 2.27

---

4.
Entry from Alexandria via LeMat-Bulk: LiCa2Ga4Pt3 after structural relaxation (GGA-PBE).

## Properties
- DFT total energy: -4.40 eV/atom
- Formation enthalpy at 0 K: -0.7868 eV per atom
- Spin magnetization: 0.00 μB/f.u.
- Calculated volume: 19.4 Å³ per atom

Cell lengths 4.3787, 4.3787, 10.0968 Å; angles 90.00, 90.00, 90.00 degrees
Last column: nearest neighbours and their distance in Å.
Space group P-4m2 (No. 115)
Inequivalent atoms, fractional coordinates:
Li 0.0000 0.0000 0.0000  4 Ga 2.52
Ca 0.0000 0.5000 0.7491  6 Pt 3.31-3.35, 8 Ga 3.33-3.36, 2 Li 3.35
Ga 0.0000 0.0000 0.5000  4 Pt 2.57
Ga 0.0000 0.5000 0.1227  3 Pt 2.47-2.52, 2 Li 2.52
Ga 0.5000 0.5000 0.5000  4 Pt 2.57
Pt 0.0000 0.5000 0.3676  5 Ga 2.47-2.57
Pt 0.5000 0.5000 0.0000  4 Ga 2.52